1.
! Sr2TaTl, relaxed, DFT GGA-PBEsol; values from VASP
&SYSTEM
  ibrav = 0, nat = 4, ntyp = 3
/
ATOMIC_SPECIES
Tl 204.38 Tl.upf
Ta 180.95 Ta.upf
Sr 87.62 Sr.upf
CELL_PARAMETERS angstrom
-1.0936 1.5806 -2.8021
3.1825 -3.6825 -3.3192
-4.5808 -3.6927 -0.2952
ATOMIC_POSITIONS angstrom
Tl -0.5468 0.7903 -1.4011
Ta -1.2459 -2.8973 -3.2083
Sr 1.5912 -1.8413 -1.6596
Sr -2.2904 -1.8463 -0.1476
! distance to the lowest polymorph of the same formula: 154 meV per atom
! magnetic moment: 2.25 μB per cell
! space group: P4/mmm, No. 123


2.
! KCaMn2, relaxed, DFT GGA-PBEsol; values from VASP
&SYSTEM
  ibrav = 0, nat = 4, ntyp = 3
/
ATOMIC_SPECIES
Mn 54.94 Mn.upf
K 39.10 K.upf
Ca 40.08 Ca.upf
CELL_PARAMETERS angstrom
3.2881 0.0000 0.0000
0.0000 3.2881 0.0000
0.0000 0.0000 9.5434
ATOMIC_POSITIONS angstrom
Mn 0.0000 0.0000 0.9482
Mn 1.6440 1.6440 1.6952
K 1.6440 1.6440 7.7376
Ca 0.0000 0.0000 3.9341
! magnetic moment: 0.63 μB per cell
! space group: P4mm, No. 99
! total DFT energy (no corrections): -0.1860 hartree per atom